Computed, not measured: a relaxed KLi2WF8 crystal at the PBE+U level of DFT. Values from VASP.

Values from the calculation:
total DFT energy (no corrections)	-4.887	eV per atom

Cell and atoms, written as Quantum ESPRESSO input:
```
&SYSTEM
  ibrav = 0, nat = 12, ntyp = 4
/
ATOMIC_SPECIES
K 39.10 K.upf
Li 6.94 Li.upf
W 183.84 W.upf
F 19.00 F.upf
CELL_PARAMETERS angstrom
-4.2788 2.0953 -1.3676
-3.6684 -2.8044 -1.8019
-5.4872 -1.2407 6.2846
ATOMIC_POSITIONS crystal
K 0.0000 0.0000 0.0000
Li 0.7309 0.7309 0.8072
Li 0.2691 0.2691 0.1928
W 0.5000 0.5000 0.5000
F 0.6579 0.6579 0.0264
F 0.3421 0.3421 0.9736
F 0.5206 0.2568 0.3486
F 0.7432 0.4794 0.6514
F 0.1260 0.7432 0.6514
F 0.2568 0.8740 0.3486
F 0.8740 0.5206 0.3486
F 0.4794 0.1260 0.6514
```